1.
Computed, not measured: a relaxed Hf3PtAu crystal at the PBE level of DFT.

Calculated values
Fermi-level density of states in states/eV per atom: 1.627
ΔE_f in eV per atom: 0.2463
Space group: No. 221
Magnetization in μB per cell: 0.00
Total DFT energy (no corrections) in eV/atom: -7.59
E above lowest polymorph in meV/atom: 0

a = 5.0138 Å, b = 5.0138 Å, c = 5.0138 Å
α = 90.00°, β = 90.00°, γ = 90.00°
Fractional positions:
Hf 0.0000 0.5000 0.0000
Hf 0.0000 0.0000 0.5000
Hf 0.5000 0.0000 0.0000
Au 0.5000 0.5000 0.5000
Pt 0.0000 0.0000 0.0000

***

2.
Computed, not measured: a relaxed HfPtAu3 crystal at the PBE level of DFT.

Calculated values
Fermi-level density of states in states/eV per atom: 1.115
ΔE_f in eV per atom: 0.8602
Space group: No. 221
Magnetization in μB per cell: 0.00
Total DFT energy (no corrections) in eV/atom: -4.31
E above lowest polymorph in meV/atom: 1294

a = 4.9786 Å, b = 4.9786 Å, c = 4.9786 Å
α = 90.00°, β = 90.00°, γ = 90.00°
Fractional positions:
Hf 0.5000 0.5000 0.5000
Au 0.0000 0.5000 0.0000
Au 0.0000 0.0000 0.5000
Au 0.5000 0.0000 0.0000
Pt 0.0000 0.0000 0.0000

***

3.
Computed, not measured: a relaxed Hf6PtAu3 crystal at the PBE level of DFT.

Calculated values
Fermi-level density of states in states/eV per atom: 0.910
ΔE_f in eV per atom: -0.3584
Space group: No. 58
Magnetization in μB per cell: 0.00
Total DFT energy (no corrections) in eV/atom: -7.92

a = 4.6880 Å, b = 8.1212 Å, c = 10.9803 Å
α = 90.00°, β = 90.00°, γ = 90.00°
Fractional positions:
Hf 0.5000 0.1610 0.9115
Hf 0.5000 0.1803 0.5900
Hf 0.5000 0.4905 0.2538
Hf 0.5000 0.5095 0.7462
Hf 0.5000 0.8197 0.4100
Hf 0.5000 0.8390 0.0885
Hf 0.0000 0.3389 0.4115
Hf 0.0000 0.3197 0.0900
Hf 0.0000 0.0095 0.7538
Hf 0.0000 0.9905 0.2462
Hf 0.0000 0.6803 0.9100
Hf 0.0000 0.6611 0.5885
Pt 0.5000 0.5000 0.5000
Pt 0.0000 0.0000 0.0000
Au 0.5000 0.8447 0.7255
Au 0.5000 0.5000 0.0000
Au 0.5000 0.1553 0.2745
Au 0.0000 0.6553 0.2255
Au 0.0000 0.0000 0.5000
Au 0.0000 0.3447 0.7745

***

4.
Computed, not measured: a relaxed HfPtAu3 crystal at the PBE level of DFT.

Calculated values
Fermi-level density of states in states/eV per atom: 1.217
ΔE_f in eV per atom: 1.1482
Space group: No. 221
Magnetization in μB per cell: 0.00
Total DFT energy (no corrections) in eV/atom: -4.02
E above lowest polymorph in meV/atom: 1582

a = 5.0945 Å, b = 5.0945 Å, c = 5.0945 Å
α = 90.00°, β = 90.00°, γ = 90.00°
Fractional positions:
Hf 0.0000 0.0000 0.0000
Au 0.0000 0.5000 0.0000
Au 0.0000 0.0000 0.5000
Au 0.5000 0.0000 0.0000
Pt 0.5000 0.5000 0.5000

***

5.
Computed, not measured: a relaxed Hf2PtAu2 crystal at the PBE level of DFT.

Calculated values
Fermi-level density of states in states/eV per atom: 0.725
ΔE_f in eV per atom: -0.3241
Space group: No. 127
Magnetization in μB per cell: 0.00
Total DFT energy (no corrections) in eV/atom: -6.82
E above lowest polymorph in meV/atom: 202

a = 7.2313 Å, b = 7.2313 Å, c = 3.9170 Å
α = 90.00°, β = 90.00°, γ = 90.00°
Fractional positions:
Hf 0.3361 0.8361 0.0000
Hf 0.8361 0.6639 0.0000
Hf 0.6639 0.1639 0.0000
Hf 0.1639 0.3361 0.0000
Au 0.1383 0.6383 0.5000
Au 0.6383 0.8617 0.5000
Au 0.8617 0.3617 0.5000
Au 0.3617 0.1383 0.5000
Pt 0.0000 0.0000 0.0000
Pt 0.5000 0.5000 0.0000

***

6.
Computed, not measured: a relaxed HfPt2Au crystal at the PBE level of DFT.

Calculated values
Fermi-level density of states in states/eV per atom: 0.778
ΔE_f in eV per atom: -0.4175
Space group: No. 122
Magnetization in μB per cell: 0.00
Total DFT energy (no corrections) in eV/atom: -6.75

a = 7.3639 Å, b = 7.3639 Å, c = 5.9202 Å
α = 51.54°, β = 51.54°, γ = 90.00°
Fractional positions:
Hf 0.5000 0.5000 0.0000
Hf 0.2500 0.7500 0.5000
Au 0.0000 0.0000 0.0000
Au 0.7500 0.2500 0.5000
Pt 0.6105 0.1250 0.2500
Pt 0.1395 0.6250 0.2500
Pt 0.3750 0.3895 0.7500
Pt 0.8750 0.8605 0.7500

***

7.
Computed, not measured: a relaxed Hf2PtAu2 crystal at the PBE level of DFT.

Calculated values
Fermi-level density of states in states/eV per atom: 0.590
ΔE_f in eV per atom: -0.5257
Space group: No. 127
Magnetization in μB per cell: 0.00
Total DFT energy (no corrections) in eV/atom: -7.03
E above lowest polymorph in meV/atom: 0

a = 7.3184 Å, b = 7.3184 Å, c = 3.5839 Å
α = 90.00°, β = 90.00°, γ = 90.00°
Fractional positions:
Hf 0.1730 0.6730 0.5000
Hf 0.6730 0.8270 0.5000
Hf 0.8270 0.3270 0.5000
Hf 0.3270 0.1730 0.5000
Au 0.3682 0.8682 0.0000
Au 0.8682 0.6318 0.0000
Au 0.6318 0.1318 0.0000
Au 0.1318 0.3682 0.0000
Pt 0.0000 0.0000 0.0000
Pt 0.5000 0.5000 0.0000

***

8.
Computed, not measured: a relaxed HfPtAu2 crystal at the PBE level of DFT.

Calculated values
Fermi-level density of states in states/eV per atom: 0.492
ΔE_f in eV per atom: -0.6836
Space group: No. 59
Magnetization in μB per cell: 0.00
Total DFT energy (no corrections) in eV/atom: -6.32

a = 5.1394 Å, b = 4.8751 Å, c = 5.6659 Å
α = 90.00°, β = 90.00°, γ = 90.01°
Fractional positions:
Hf 0.8633 0.7502 0.2500
Hf 0.1367 0.2498 0.7500
Pt 0.1366 0.2502 0.2500
Pt 0.8634 0.7498 0.7500
Au 0.3527 0.7500 0.9979
Au 0.3527 0.7500 0.5021
Au 0.6473 0.2500 0.0021
Au 0.6473 0.2500 0.4979